An optimized crystal structure of CaTl2V2O6. Source: Alexandria, functional PBE+U.

Lattice parameters (Å, degrees): 6.1900 6.1900 18.1145 90.00 90.00 120.00
Space group R-3m (No. 166, hexagonal axes)
One atom of each set of equivalent atoms:
Ca (0.0000, 0.0000, 0.0000) (multiplicity 3)
Tl (0.0000, 0.0000, 0.2121) (multiplicity 6)
V (0.0000, 0.0000, 0.4271) (multiplicity 6)
O (0.0156, 0.5078, 0.2540) (multiplicity 18)

Uncorrected energy = -6.41 eV per atom